CaPmAgIr | PBE | optimized geometry

```
CaPmAgIr
1.0
3.5561 0.0000 0.0000
0.0000 3.5561 0.0000
0.0000 0.0000 7.4713
Ca Pm Ag Ir
1 1 1 1
direct
0.0000 0.0000 0.0000
0.0000 0.0000 0.5563
0.5000 0.5000 0.2727
0.5000 0.5000 0.7594
```

Output
- Energy of formation from the pure elements: -0.4176 eV/atom
- Volume: 94.48 Å³/f.u.
- Space-group type: P4mm, No. 99
- Offset from the most stable computed form: 0.000 eV per atom